(1)
An optimized crystal structure of Ba2TlSbSe4. Source: Alexandria via LeMat-Bulk, functional PBE.

Fermi-level density of states   0.0038 states/eV per atom
Formation energy (no corrections)   -1.069 eV per atom
Electronic total energy   -4.1035 eV per atom
Calculated volume   33.33 A^3/atom
Space-group type   Imma, No. 74

Lattice parameters (Å, degrees): 9.095 9.095 9.137 120.16 120.16 89.70
Fractional coordinates of all 16 atoms:
Ba 0.500 0.000 0.000
Ba 0.500 0.000 0.500
Ba 0.000 0.000 0.500
Ba 0.500 0.500 0.000
Tl 0.000 0.500 0.000
Tl 0.000 0.500 0.500
Sb 0.500 0.500 0.500
Sb 0.000 0.000 0.000
Se 0.233 0.772 0.003
Se 0.728 0.267 0.497
Se 0.272 0.733 0.503
Se 0.767 0.228 0.997
Se 0.749 0.751 0.975
Se 0.749 0.751 0.525
Se 0.251 0.249 0.475
Se 0.251 0.249 0.025



(2)
An optimized crystal structure of BaSiSb3. Source: Alexandria via LeMat-Bulk, functional PBE.

Fermi-level density of states   0.9762 states/eV per atom
Formation energy (no corrections)   -0.050 eV per atom
Electronic total energy   -3.9928 eV per atom
Calculated volume   31.61 A^3/atom
Relative energy among the computed polymorphs   0.0 meV/atom
Space-group type   Pm-3m, No. 221

Lattice parameters (Å, degrees): 5.407 5.407 5.407 90.00 90.00 90.00
Fractional coordinates of all 5 atoms:
Sb 0.000 0.500 0.000
Sb 0.000 0.000 0.500
Sb 0.500 0.000 0.000
Si 0.000 0.000 0.000
Ba 0.500 0.500 0.500



(3)
An optimized crystal structure of BaSiSb. Source: Alexandria via LeMat-Bulk, functional PBE.

Fermi-level density of states   0.6406 states/eV per atom
Formation energy (no corrections)   0.078 eV per atom
Electronic total energy   -3.7452 eV per atom
Calculated volume   37.61 A^3/atom
Relative energy among the computed polymorphs   493.0 meV/atom
Space-group type   F-43m, No. 216

Lattice parameters (Å, degrees): 5.424 5.424 5.424 60.00 60.00 60.00
Fractional coordinates of all 3 atoms:
Ba 0.500 0.500 0.500
Sb 0.750 0.750 0.750
Si 0.000 0.000 0.000



(4)
An optimized crystal structure of Ba3Si2Sb4. Source: Alexandria via LeMat-Bulk, functional PBE.

Fermi-level density of states   0.1316 states/eV per atom
Formation energy (no corrections)   -0.540 eV per atom
Electronic total energy   -4.2180 eV per atom
Calculated volume   34.45 A^3/atom
Space-group type   C2/c, No. 15

Lattice parameters (Å, degrees): 7.186 10.254 9.960 120.98 81.60 90.00
Fractional coordinates of all 18 atoms:
Ba 0.075 0.749 0.747
Ba 0.425 0.002 0.253
Ba 0.925 0.251 0.253
Ba 0.575 0.998 0.747
Ba 0.750 0.503 0.000
Ba 0.250 0.497 0.000
Si 0.515 0.522 0.389
Si 0.985 0.132 0.611
Si 0.485 0.478 0.611
Si 0.015 0.868 0.389
Sb 0.545 0.720 0.860
Sb 0.955 0.860 0.140
Sb 0.455 0.280 0.140
Sb 0.045 0.140 0.860
Sb 0.866 0.636 0.403
Sb 0.634 0.233 0.597
Sb 0.134 0.364 0.597
Sb 0.366 0.767 0.403